Entry from Alexandria: Li4Pu3AuO12 after structural relaxation (PBE).

Cell lengths 7.0628, 7.0628, 7.0628 Å; angles 107.10, 107.10, 107.10 degrees
With the nearest neighbours (Å) after each atom.
Fractional positions:
Li  0.0000  0.0000  0.0000  3 O 1.88
Li  0.0000  0.4394  0.5606  3 O 1.91-1.93
Li  0.4394  0.5606  0.0000  3 O 1.91-1.93
Li  0.5606  0.0000  0.4394  3 O 1.91-1.93
Pu  0.0586  0.9414  0.5000  6 O 1.95-2.13
Pu  0.5000  0.0586  0.9414  6 O 1.95-2.13
Pu  0.9414  0.5000  0.0586  6 O 1.95-2.13
Au  0.5000  0.5000  0.5000  6 O 2.82
O  0.0000  0.6092  0.3908  1 Li 1.93, 2 Pu 2.11
O  0.0000  0.8346  0.1654  1 Li 1.88
O  0.1416  0.2464  0.5499  1 Li 1.91, 1 Pu 1.95
O  0.1654  0.0000  0.8346  1 Li 1.88
O  0.2464  0.5499  0.1416  1 Li 1.91, 1 Pu 1.95
O  0.3908  0.0000  0.6092  1 Li 1.93, 2 Pu 2.11
O  0.4501  0.7536  0.8584  1 Li 1.91, 1 Pu 1.95
O  0.5499  0.1416  0.2464  1 Li 1.91, 1 Pu 1.95
O  0.6092  0.3908  0.0000  1 Li 1.93, 2 Pu 2.11
O  0.7536  0.8584  0.4501  1 Li 1.91, 1 Pu 1.95
O  0.8346  0.1654  0.0000  1 Li 1.88
O  0.8584  0.4501  0.7536  1 Li 1.91, 1 Pu 1.95

Calculated values
E_form (uncorrected) ... -2.00 eV per atom
Total magnetic moment ... 5.00 μB/f.u.
Crystal system ... trigonal
Volume ... 292.6 Å³/cell